Entry 1:
# Ba3ScRu2O9

Crystalline Ba3ScRu2O9 at its relaxed geometry (PBE, Alexandria).

calculated total energy	-7.2153	eV per atom
energy relative to the elements, uncorrected	-2196.9	meV per atom

The structure in CIF format:
```
data_Ba3ScRu2O9
_chemical_formula_sum 'Ba3 Sc1 Ru2 O9'
_cell_length_a 5.7921
_cell_length_b 5.7921
_cell_length_c 7.1015
_cell_angle_alpha 90.00
_cell_angle_beta 90.00
_cell_angle_gamma 120.00
_symmetry_space_group_name_H-M 'P -3 m 1'
_symmetry_Int_Tables_number 164
_symmetry_space_group_name_Hall '-P 3 2"'
loop_
_atom_site_label
_atom_site_type_symbol
_atom_site_fract_x
_atom_site_fract_y
_atom_site_fract_z
_atom_site_occupancy
Ba1 Ba 0.0000 0.0000 0.0000 1
Ba2 Ba 0.3333 0.6667 0.6689 1
Sc1 Sc 0.0000 0.0000 0.5000 1
Ru1 Ru 0.3333 0.6667 0.1669 1
O1 O 0.0000 0.5000 0.0000 1
O2 O 0.1718 0.3436 0.3269 1
```

***

Entry 2:
# BaScRu2O8

Crystalline BaScRu2O8 at its relaxed geometry (PBE, Alexandria).

calculated total energy	-7.1883	eV per atom
energy relative to the elements, uncorrected	-1649.0	meV per atom

The structure in CIF format:
```
data_BaScRu2O8
_chemical_formula_sum 'Ba1 Sc1 Ru2 O8'
_cell_length_a 5.7811
_cell_length_b 5.7811
_cell_length_c 7.4309
_cell_angle_alpha 90.00
_cell_angle_beta 90.00
_cell_angle_gamma 120.00
_symmetry_space_group_name_H-M 'P -3'
_symmetry_Int_Tables_number 147
loop_
_symmetry_equiv_pos_as_xyz
'x,y,z'
'-x,-y,-z'
'-y,x-y,z'
'y,-x+y,-z'
'-x+y,-x,z'
'x-y,x,-z'
loop_
_atom_site_label
_atom_site_type_symbol
_atom_site_fract_x
_atom_site_fract_y
_atom_site_fract_z
_atom_site_occupancy
Ba1 Ba 0.0000 0.0000 0.0000 1
Sc1 Sc 0.0000 0.0000 0.5000 1
Ru1 Ru 0.3333 0.6667 0.7507 1
O1 O 0.1338 0.3193 0.6816 1
O2 O 0.3333 0.6667 0.9916 1
```

***

Entry 3:
# BaScRuO6

Crystalline BaScRuO6 at its relaxed geometry (PBE, Alexandria).

calculated total energy	-7.2086	eV per atom
energy relative to the elements, uncorrected	-1955.4	meV per atom

The structure in CIF format:
```
data_BaScRuO6
_chemical_formula_sum 'Ba1 Sc1 Ru1 O6'
_cell_length_a 5.3850
_cell_length_b 5.3850
_cell_length_c 5.7305
_cell_angle_alpha 90.00
_cell_angle_beta 90.00
_cell_angle_gamma 120.00
_symmetry_space_group_name_H-M 'P 3 1 2'
_symmetry_Int_Tables_number 149
loop_
_symmetry_equiv_pos_as_xyz
'x,y,z'
'-y,x-y,z'
'-x+y,-x,z'
'-y,-x,-z'
'-x+y,y,-z'
'x,x-y,-z'
loop_
_atom_site_label
_atom_site_type_symbol
_atom_site_fract_x
_atom_site_fract_y
_atom_site_fract_z
_atom_site_occupancy
Ba1 Ba 0.0000 0.0000 0.0000 1
Sc1 Sc 0.6667 0.3333 0.5000 1
Ru1 Ru 0.3333 0.6667 0.5000 1
O1 O 0.0261 0.3967 0.3076 1
```

***

Entry 4:
# BaSc2RuO8

Crystalline BaSc2RuO8 at its relaxed geometry (PBE, Alexandria).

calculated total energy	-7.3710	eV per atom
energy relative to the elements, uncorrected	-2077.1	meV per atom

The structure in CIF format:
```
data_BaSc2RuO8
_chemical_formula_sum 'Ba1 Sc2 Ru1 O8'
_cell_length_a 4.7990
_cell_length_b 7.2668
_cell_length_c 4.8161
_cell_angle_alpha 90.00
_cell_angle_beta 90.15
_cell_angle_gamma 90.00
_symmetry_space_group_name_H-M 'P 1 2/m 1'
_symmetry_Int_Tables_number 10
loop_
_symmetry_equiv_pos_as_xyz
'x,y,z'
'-x,-y,-z'
'-x,y,-z'
'x,-y,z'
loop_
_atom_site_label
_atom_site_type_symbol
_atom_site_fract_x
_atom_site_fract_y
_atom_site_fract_z
_atom_site_occupancy
Ba1 Ba 0.0000 0.0000 0.0000 1
Sc1 Sc 0.5000 0.2934 0.5000 1
Ru1 Ru 0.0000 0.5000 0.0000 1
O1 O 0.1981 0.3099 0.8060 1
O2 O 0.2924 0.5000 0.2956 1
O3 O 0.3862 0.0000 0.3935 1
```